A plane-wave DFT calculation with PBE with a Hubbard U was carried out for an optimized crystal structure of NiAgF2.

Values from the calculation:
The calculation puts the density of states at the Fermi level at 1.67 states/eV per cell. For the total energy, the calculation gives -3.12 eV/atom. Its space group is No. 166. The value obtained for the offset from the most stable computed form is 573.8 meV/atom.

Cell: 7.3818 7.3818 7.3818 Å, 24.30 24.30 24.30°
Each line ends with the local moment (μB).
Fractional positions:
F  0.9123  0.9123  0.9123  -0.01
F  0.0877  0.0877  0.0877  -0.01
Ag  0.5000  0.5000  0.5000  -0.01
Ni  0.0000  0.0000  0.0000  1.02